A plane-wave DFT calculation with PBE was carried out for an optimized crystal structure of CsNa3Cl.

Lattice parameters (Å, degrees): 7.403 7.403 7.403 90.00 90.00 90.00
Fractional coordinates of all 5 atoms:
Cs (0.000, 0.000, 0.000)
Na (0.000, 0.000, 0.500)
Na (0.000, 0.500, 0.000)
Na (0.500, 0.000, 0.000)
Cl (0.500, 0.500, 0.500)

- Electronic total energy: -1.08 eV/atom
- Spin magnetization: 1.0 μB/cell
- E_form (uncorrected): 246.8 meV/atom

---

A plane-wave DFT calculation with PBE was carried out for an optimized crystal structure of CsNaCl2.

Lattice parameters (Å, degrees): 5.592 5.592 5.592 60.00 60.00 60.00
Fractional coordinates of all 4 atoms:
Cs (0.000, 0.000, 0.000)
Na (0.500, 0.500, 0.500)
Cl (0.250, 0.250, 0.250)
Cl (0.750, 0.750, 0.750)

- Electronic total energy: -3.14 eV/atom
- Spin magnetization: 0.0 μB/cell
- E_form (uncorrected): -1674.7 meV/atom

---

A plane-wave DFT calculation with PBE was carried out for an optimized crystal structure of Cs2NaCl.

Lattice parameters (Å, degrees): 9.078 9.078 9.078 112.69 112.69 103.21
Fractional coordinates of all 8 atoms:
Cs (0.043, 0.625, 0.918)
Cs (0.375, 0.293, 0.418)
Cs (0.707, 0.125, 0.082)
Cs (0.875, 0.957, 0.582)
Na (0.250, 0.750, 0.500)
Na (0.500, 0.500, 0.000)
Cl (0.000, 0.000, 0.000)
Cl (0.750, 0.250, 0.500)

- Electronic total energy: -2.09 eV/atom
- Spin magnetization: 0.0 μB/cell
- E_form (uncorrected): -871.3 meV/atom

---

A plane-wave DFT calculation with PBE was carried out for an optimized crystal structure of Cs2Na2Cl.

Lattice parameters (Å, degrees): 8.806 8.806 6.889 90.00 90.00 90.00
Fractional coordinates of all 10 atoms:
Cs (0.189, 0.311, 0.000)
Cs (0.311, 0.811, 0.000)
Cs (0.689, 0.189, 0.000)
Cs (0.811, 0.689, 0.000)
Na (0.140, 0.640, 0.500)
Na (0.360, 0.140, 0.500)
Na (0.640, 0.860, 0.500)
Na (0.860, 0.360, 0.500)
Cl (0.000, 0.000, 0.500)
Cl (0.500, 0.500, 0.500)

- Electronic total energy: -1.68 eV/atom
- Spin magnetization: 0.0 μB/cell
- E_form (uncorrected): -445.8 meV/atom

---

A plane-wave DFT calculation with PBE was carried out for an optimized crystal structure of CsNa2Cl3.

Lattice parameters (Å, degrees): 7.924 7.924 10.563 90.00 90.00 145.99
Fractional coordinates of all 12 atoms:
Cs (0.249, 0.751, 0.750)
Cs (0.751, 0.249, 0.250)
Na (0.000, 0.000, 0.000)
Na (0.000, 0.000, 0.500)
Na (0.486, 0.514, 0.250)
Na (0.514, 0.486, 0.750)
Cl (0.068, 0.932, 0.250)
Cl (0.381, 0.619, 0.051)
Cl (0.381, 0.619, 0.449)
Cl (0.619, 0.381, 0.551)
Cl (0.619, 0.381, 0.949)
Cl (0.932, 0.068, 0.750)

- Electronic total energy: -3.31 eV/atom
- Spin magnetization: 0.0 μB/cell
- E_form (uncorrected): -1802.6 meV/atom

---

A plane-wave DFT calculation with PBE was carried out for an optimized crystal structure of CsNa2Cl.

Lattice parameters (Å, degrees): 8.774 8.774 8.774 119.85 119.85 90.25
Fractional coordinates of all 8 atoms:
Cs (0.375, 0.625, 0.750)
Cs (0.625, 0.375, 0.250)
Na (0.000, 0.000, 0.000)
Na (0.000, 0.000, 0.500)
Na (0.000, 0.500, 0.000)
Na (0.500, 0.000, 0.500)
Cl (0.125, 0.875, 0.250)
Cl (0.875, 0.125, 0.750)

- Electronic total energy: -2.03 eV/atom
- Spin magnetization: 0.0 μB/cell
- E_form (uncorrected): -696.4 meV/atom

---

A plane-wave DFT calculation with PBE was carried out for an optimized crystal structure of Cs3Na5Cl12.

Lattice parameters (Å, degrees): 15.432 15.432 15.432 109.47 109.47 109.47
Fractional coordinates of all 80 atoms:
Cs (0.125, 0.250, 0.375)
Cs (0.125, 0.375, 0.750)
Cs (0.250, 0.375, 0.125)
Cs (0.250, 0.875, 0.625)
Cs (0.375, 0.125, 0.250)
Cs (0.375, 0.750, 0.125)
Cs (0.625, 0.250, 0.875)
Cs (0.625, 0.875, 0.750)
Cs (0.750, 0.125, 0.375)
Cs (0.750, 0.625, 0.875)
Cs (0.875, 0.625, 0.250)
Cs (0.875, 0.750, 0.625)
Na (0.000, 0.000, 0.000)
Na (0.000, 0.000, 0.500)
Na (0.000, 0.500, 0.000)
Na (0.000, 0.500, 0.500)
Na (0.125, 0.750, 0.875)
Na (0.125, 0.875, 0.250)
Na (0.250, 0.125, 0.875)
Na (0.250, 0.625, 0.375)
Na (0.375, 0.250, 0.625)
Na (0.375, 0.625, 0.750)
Na (0.500, 0.000, 0.000)
Na (0.500, 0.000, 0.500)
Na (0.500, 0.500, 0.000)
Na (0.500, 0.500, 0.500)
Na (0.625, 0.375, 0.250)
Na (0.625, 0.750, 0.375)
Na (0.750, 0.375, 0.625)
Na (0.750, 0.875, 0.125)
Na (0.875, 0.125, 0.750)
Na (0.875, 0.250, 0.125)
Cl (0.016, 0.205, 0.083)
Cl (0.016, 0.311, 0.933)
Cl (0.067, 0.583, 0.379)
Cl (0.067, 0.984, 0.689)
Cl (0.083, 0.016, 0.205)
Cl (0.083, 0.567, 0.879)
Cl (0.121, 0.705, 0.689)
Cl (0.121, 0.917, 0.433)
Cl (0.189, 0.205, 0.621)
Cl (0.189, 0.484, 0.567)
Cl (0.205, 0.083, 0.016)
Cl (0.205, 0.621, 0.189)
Cl (0.295, 0.311, 0.879)
Cl (0.295, 0.484, 0.417)
Cl (0.311, 0.879, 0.295)
Cl (0.311, 0.933, 0.016)
Cl (0.379, 0.067, 0.583)
Cl (0.379, 0.811, 0.795)
Cl (0.417, 0.295, 0.484)
Cl (0.417, 0.621, 0.933)
Cl (0.433, 0.121, 0.917)
Cl (0.433, 0.811, 0.516)
Cl (0.484, 0.417, 0.295)
Cl (0.484, 0.567, 0.189)
Cl (0.516, 0.433, 0.811)
Cl (0.516, 0.583, 0.705)
Cl (0.567, 0.189, 0.484)
Cl (0.567, 0.879, 0.083)
Cl (0.583, 0.379, 0.067)
Cl (0.583, 0.705, 0.516)
Cl (0.621, 0.189, 0.205)
Cl (0.621, 0.933, 0.417)
Cl (0.689, 0.067, 0.984)
Cl (0.689, 0.121, 0.705)
Cl (0.705, 0.516, 0.583)
Cl (0.705, 0.689, 0.121)
Cl (0.795, 0.379, 0.811)
Cl (0.795, 0.917, 0.984)
Cl (0.811, 0.516, 0.433)
Cl (0.811, 0.795, 0.379)
Cl (0.879, 0.083, 0.567)
Cl (0.879, 0.295, 0.311)
Cl (0.917, 0.433, 0.121)
Cl (0.917, 0.984, 0.795)
Cl (0.933, 0.016, 0.311)
Cl (0.933, 0.417, 0.621)
Cl (0.984, 0.689, 0.067)
Cl (0.984, 0.795, 0.917)

- Electronic total energy: -2.84 eV/atom
- Spin magnetization: 16.0 μB/cell
- E_form (uncorrected): -1270.1 meV/atom

---

A plane-wave DFT calculation with PBE was carried out for an optimized crystal structure of CsNa2Cl3.

Lattice parameters (Å, degrees): 7.415 7.415 7.191 90.00 90.00 71.13
Fractional coordinates of all 12 atoms:
Cs (0.127, 0.873, 0.750)
Cs (0.873, 0.127, 0.250)
Na (0.326, 0.326, 0.000)
Na (0.326, 0.326, 0.500)
Na (0.674, 0.674, 0.000)
Na (0.674, 0.674, 0.500)
Cl (0.041, 0.359, 0.750)
Cl (0.359, 0.041, 0.250)
Cl (0.491, 0.509, 0.250)
Cl (0.509, 0.491, 0.750)
Cl (0.641, 0.959, 0.750)
Cl (0.959, 0.641, 0.250)

- Electronic total energy: -3.25 eV/atom
- Spin magnetization: 0.0 μB/cell
- E_form (uncorrected): -1747.1 meV/atom

---

A plane-wave DFT calculation with PBE was carried out for an optimized crystal structure of CsNaCl2.

Lattice parameters (Å, degrees): 8.151 8.151 8.151 31.16 31.16 31.16
Fractional coordinates of all 4 atoms:
Cs (0.000, 0.000, 0.000)
Na (0.831, 0.831, 0.831)
Cl (0.232, 0.232, 0.232)
Cl (0.432, 0.432, 0.432)

- Electronic total energy: -3.28 eV/atom
- Spin magnetization: 0.0 μB/cell
- E_form (uncorrected): -1810.7 meV/atom

---

A plane-wave DFT calculation with PBE was carried out for an optimized crystal structure of Cs2NaCl.

Lattice parameters (Å, degrees): 11.131 11.131 11.131 26.29 26.29 26.29
Fractional coordinates of all 4 atoms:
Cs (0.230, 0.230, 0.230)
Cs (0.770, 0.770, 0.770)
Na (0.000, 0.000, 0.000)
Cl (0.500, 0.500, 0.500)

- Electronic total energy: -2.12 eV/atom
- Spin magnetization: 0.0 μB/cell
- E_form (uncorrected): -901.2 meV/atom

---

A plane-wave DFT calculation with PBE was carried out for an optimized crystal structure of Cs2Na2Cl.

Lattice parameters (Å, degrees): 12.345 12.345 12.345 158.62 158.62 30.42
Fractional coordinates of all 5 atoms:
Cs (0.085, 0.085, 0.000)
Cs (0.915, 0.915, 0.000)
Na (0.250, 0.750, 0.500)
Na (0.750, 0.250, 0.500)
Cl (0.500, 0.500, 0.000)

- Electronic total energy: -1.92 eV/atom
- Spin magnetization: 0.0 μB/cell
- E_form (uncorrected): -681.2 meV/atom

---

A plane-wave DFT calculation with PBE was carried out for an optimized crystal structure of Cs2NaNbCl.

Lattice parameters (Å, degrees): 7.394 7.394 4.697 90.00 90.00 90.00
Fractional coordinates of all 5 atoms:
Cs (0.000, 0.500, 0.000)
Cs (0.500, 0.000, 0.000)
Na (0.000, 0.000, 0.500)
Nb (0.500, 0.500, 0.000)
Cl (0.500, 0.500, 0.500)

- Electronic total energy: -2.63 eV/atom
- Spin magnetization: 3.7 μB/cell
- E_form (uncorrected): 357.2 meV/atom